# AcN2O PBE-GGA relaxed
data_AcN2O
_symmetry_space_group_name_H-M 'P 1'
_symmetry_Int_Tables_number 1
_cell_length_a 4.6144
_cell_length_b 4.6144
_cell_length_c 6.7144
_cell_angle_alpha 90.00
_cell_angle_beta 90.00
_cell_angle_gamma 116.24
loop_
_symmetry_equiv_pos_as_xyz
'x,y,z'
loop_
_atom_site_label
_atom_site_type_symbol
_atom_site_fract_x
_atom_site_fract_y
_atom_site_fract_z
Ac1 Ac 0.1799 0.8201 0.7500
Ac2 Ac 0.8201 0.1799 0.2500
N1 N 0.1711 0.8289 0.1619
N2 N 0.1711 0.8289 0.3381
N3 N 0.8289 0.1711 0.6619
N4 N 0.8289 0.1711 0.8381
O1 O 0.4872 0.5128 0.7500
O2 O 0.5128 0.4872 0.2500
# Crystal system: orthorhombic
# V: 128 Å³/cell
# E_form (uncorrected): -979 meV/atom
# Electronic total energy: -59.27 eV per cell